VASP calculation (SCAN) on AsW2Se at its PBEsol-relaxed geometry.

Summary:
As for the formation energy (no corrections): 0.49 eV/atom. The calculation puts the distance to the lowest polymorph of the same formula at 0 meV/atom. The crystal system is tetragonal. The density is 14393 kg/m3.

Lattice parameters (Å, degrees): 3.1113 3.1113 6.2162 90.00 90.00 90.00
Fractional positions:
1 As 0.0000 0.0000 0.0000
2 W 0.5000 0.5000 0.2386
3 W 0.5000 0.5000 0.7614
4 Se 0.0000 0.0000 0.5000

=====

VASP calculation (SCAN) on AsW2Se at its PBEsol-relaxed geometry.

Summary:
As for the formation energy (no corrections): 0.86 eV/atom. The calculation puts the distance to the lowest polymorph of the same formula at 372 meV/atom. The crystal system is monoclinic. The density is 13170 kg/m3.

Lattice parameters (Å, degrees): 5.4283 8.4777 3.3385 90.00 121.12 90.00
Fractional positions:
1 As 0.0000 0.0000 0.0000
2 As 0.5000 0.5000 0.0000
3 W 0.2500 0.2500 0.5000
4 W 0.2500 0.7500 0.5000
5 W 0.7500 0.2500 0.5000
6 W 0.7500 0.7500 0.5000
7 Se 0.0000 0.5000 0.0000
8 Se 0.5000 0.0000 0.0000

=====

VASP calculation (SCAN) on ZnAs2WSe at its PBEsol-relaxed geometry.

Summary:
As for the formation energy (no corrections): 1.43 eV/atom. The crystal system is tetragonal. The density is 7839 kg/m3.

Lattice parameters (Å, degrees): 4.6050 4.6050 4.7756 90.00 90.00 90.00
Fractional positions:
1 Zn 0.0000 0.0000 0.0000
2 As 0.0000 0.5000 0.0000
3 As 0.5000 0.0000 0.0000
4 W 0.5000 0.5000 0.5000
5 Se 0.0000 0.0000 0.5000

=====

VASP calculation (SCAN) on YAsSe at its PBEsol-relaxed geometry.

Summary:
As for the formation energy (no corrections): -1.65 eV/atom. The crystal system is orthorhombic. The density is 6228 kg/m3.

Lattice parameters (Å, degrees): 17.2837 3.8544 3.8869 90.00 90.00 90.00
Fractional positions:
1 Y 0.1393 0.2500 0.2343
2 Y 0.3607 0.7500 0.7343
3 Y 0.6393 0.2500 0.2657
4 Y 0.8607 0.7500 0.7657
5 As 0.0015 0.2500 0.7175
6 As 0.4985 0.7500 0.2175
7 As 0.5015 0.2500 0.7825
8 As 0.9985 0.7500 0.2825
9 Se 0.1881 0.7500 0.7362
10 Se 0.3119 0.2500 0.2362
11 Se 0.6881 0.7500 0.7638
12 Se 0.8119 0.2500 0.2638